Entry 1:
5
Lattice="-0.8940 -3.8532 0.6015 3.6405 -2.4450 3.0551 -3.0216 -0.6966 4.3531" Properties=species:S:1:pos:R:3 comment="AgAs4, optimized geometry, DFT PBEsol" crystal_system=tetragonal m_tot_mub_per_fu=0.00 ef_mev_per_atom=250 pbc="T T T"
As -0.0473 -1.7386 2.0991
Ag 0.0000 0.0000 0.0000
As 1.4334 -3.9097 3.6988
As -0.2278 -5.2563 5.9106
As -1.7085 -3.0852 4.3109



Entry 2:
30
Lattice="7.0424 0.0075 0.0194 -0.0239 7.0998 0.0181 -1.8335 -0.5517 7.6643" Properties=species:S:1:pos:R:3 comment="NaPO3, optimized geometry, DFT PBEsol" crystal_system=triclinic m_tot_mub_per_fu=0.00 raw_formation_energy_kj_per_mol_atoms=-215.3 pbc="T T T"
O -0.9731 0.0431 5.3802
O 2.0851 2.5199 5.7338
O 2.6412 0.0472 5.3948
P 2.3138 5.3317 1.4004
Na 2.6124 1.6080 1.5248
O 0.8650 1.6472 0.0840
O 0.8381 1.9101 3.5597
O 0.7284 4.9128 7.6023
Na -1.0654 4.9005 5.9996
O 3.1000 4.0357 1.9680
O 4.3201 4.9083 7.6177
O 2.5439 6.5084 2.3069
Na 0.8306 6.6487 3.9665
O 6.1582 6.5125 2.3216
O 4.3470 4.6454 4.1420
Na 2.5727 4.9476 6.1770
O 4.3562 2.2449 3.0963
O 5.6097 4.0408 1.9794
P 2.8713 1.2239 6.3014
P 4.3487 3.7351 2.9571
O 4.4566 1.6427 0.0994
P 0.8364 2.8204 4.7447
O 0.8334 4.7461 1.6515
P 6.3967 5.3358 1.4203
Na 4.3544 -0.0931 3.7353
O -0.4246 2.5148 5.7224
P -1.2117 1.2198 6.2815
O 4.3517 1.8095 6.0503
Na 6.2505 1.6550 1.7022
O 0.8289 4.3106 4.6054



Entry 3:
4
Lattice="-2.0857 -1.9177 -2.5096 3.1578 -1.3271 -1.6103 -0.6012 -1.4073 4.4292" Properties=species:S:1:pos:R:3 comment="MoRuRh2, optimized geometry, DFT PBEsol" crystal_system=tetragonal e_above_lowest_polymorph_mev_per_atom=46 m_tot_mub_per_fu=0.00 ef_mev_per_atom=-124 pbc="T T T"
Rh 1.5464 -2.1784 0.3794
Rh -1.0754 -2.4737 -0.0702
Mo 0.0000 0.0000 0.0000
Ru 0.5360 -1.6224 -2.0600